# 1
Material: Sr2Ga3Ni
Method: DFT, PBE
State: optimized geometry

V (Å³ per atom): 24.54
DFT total energy (eV for the cell shown): -20.553
Size of the total moment (μB per formula unit): 0.00

Unit cell a=4.421 b=4.356 c=7.647 alpha=90.00 beta=90.00 gamma=90.00
Atoms (fractional coordinates):
Sr  0.000  0.500  0.011
Sr  0.000  0.000  0.492
Ga  0.500  0.000  0.833
Ga  0.500  0.000  0.180
Ga  0.500  0.500  0.652
Ni  0.500  0.500  0.332



# 2
Material: SrGa3Ni
Method: DFT, PBE
State: optimized geometry

V (Å³ per atom): 37.49
DFT total energy (eV for the cell shown): -9.196
Size of the total moment (μB per formula unit): 0.05

Unit cell a=5.723 b=5.723 c=5.723 alpha=90.00 beta=90.00 gamma=90.00
Atoms (fractional coordinates):
Sr  0.000  0.000  0.000
Ga  0.000  0.500  0.000
Ga  0.000  0.000  0.500
Ga  0.500  0.000  0.000
Ni  0.500  0.500  0.500



# 3
Material: SrGa2Ni5
Method: DFT, PBE
State: optimized geometry

V (Å³ per atom): 15.13
DFT total energy (eV for the cell shown): -38.289
Size of the total moment (μB per formula unit): 0.00

Unit cell a=3.768 b=6.140 c=6.140 alpha=66.30 beta=72.13 gamma=72.13
Atoms (fractional coordinates):
Sr  0.000  0.000  0.000
Ga  0.758  0.742  0.742
Ga  0.242  0.258  0.258
Ni  0.000  0.500  0.500
Ni  0.639  0.544  0.178
Ni  0.361  0.456  0.822
Ni  0.361  0.822  0.456
Ni  0.639  0.178  0.544



# 4
Material: Sr2GaNi
Method: DFT, PBE
State: optimized geometry

V (Å³ per atom): 29.96
DFT total energy (eV for the cell shown): -22.644
Size of the total moment (μB per formula unit): 0.00

Unit cell a=8.270 b=8.270 c=6.817 alpha=52.66 beta=52.66 gamma=90.00
Atoms (fractional coordinates):
Sr  0.585  0.125  0.250
Sr  0.165  0.625  0.250
Sr  0.375  0.415  0.750
Sr  0.875  0.835  0.750
Ga  0.000  0.000  0.000
Ga  0.750  0.250  0.500
Ni  0.500  0.500  0.000
Ni  0.250  0.750  0.500